No. 1
# GdPuAlCd, optimized geometry, DFT PBE
data_GdPuAlCd
_symmetry_space_group_name_H-M 'P 1'
_symmetry_Int_Tables_number 1
_cell_length_a 5.2496
_cell_length_b 5.2496
_cell_length_c 5.2496
_cell_angle_alpha 60.00
_cell_angle_beta 60.00
_cell_angle_gamma 60.00
loop_
_symmetry_equiv_pos_as_xyz
'x,y,z'
loop_
_atom_site_label
_atom_site_fract_x
_atom_site_fract_y
_atom_site_fract_z
_atom_site_occupancy
Gd1 0.0000 0.0000 0.0000 1
Pu1 0.5000 0.5000 0.5000 1
Al1 0.2500 0.2500 0.2500 1
Cd1 0.7500 0.7500 0.7500 1
# D(E_F) in states/eV/f.u.: 7.850
# Formation energy in eV/atom: -0.16
# Crystal system: cubic

***

No. 2
# Gd3AlCdS7, optimized geometry, DFT PBE
data_Gd3AlCdS7
_symmetry_space_group_name_H-M 'P 1'
_symmetry_Int_Tables_number 1
_cell_length_a 9.8220
_cell_length_b 9.8220
_cell_length_c 6.2905
_cell_angle_alpha 90.00
_cell_angle_beta 90.00
_cell_angle_gamma 120.00
loop_
_symmetry_equiv_pos_as_xyz
'x,y,z'
loop_
_atom_site_label
_atom_site_fract_x
_atom_site_fract_y
_atom_site_fract_z
_atom_site_occupancy
Gd1 0.1520 0.3815 0.0000 1
Gd2 0.2296 0.8480 0.0000 1
Gd3 0.3815 0.2296 0.5000 1
Gd4 0.6185 0.7704 0.0000 1
Gd5 0.7704 0.1520 0.5000 1
Gd6 0.8480 0.6185 0.5000 1
Al1 0.3333 0.6667 0.4230 1
Al2 0.6667 0.3333 0.9230 1
Cd1 0.0000 0.0000 0.3140 1
Cd2 0.0000 0.0000 0.8140 1
S1 0.0952 0.5737 0.2666 1
S2 0.1115 0.2579 0.5838 1
S3 0.1464 0.8885 0.5838 1
S4 0.2579 0.1464 0.0838 1
S5 0.3333 0.6667 0.7838 1
S6 0.4263 0.5215 0.2666 1
S7 0.4785 0.9048 0.2666 1
S8 0.5215 0.0952 0.7666 1
S9 0.5737 0.4785 0.7666 1
S10 0.6667 0.3333 0.2838 1
S11 0.7421 0.8536 0.5838 1
S12 0.8536 0.1115 0.0838 1
S13 0.8885 0.7421 0.0838 1
S14 0.9048 0.4263 0.7666 1
# Uncorrected formation energy in meV/atom: -1590
# Crystal system: hexagonal

***

No. 3
# GdScAlCd, optimized geometry, DFT PBE
data_GdScAlCd
_symmetry_space_group_name_H-M 'P 1'
_symmetry_Int_Tables_number 1
_cell_length_a 5.0870
_cell_length_b 5.0870
_cell_length_c 5.0870
_cell_angle_alpha 60.00
_cell_angle_beta 60.00
_cell_angle_gamma 60.00
loop_
_symmetry_equiv_pos_as_xyz
'x,y,z'
loop_
_atom_site_label
_atom_site_fract_x
_atom_site_fract_y
_atom_site_fract_z
_atom_site_occupancy
Gd1 0.0000 0.0000 0.0000 1
Sc1 0.5000 0.5000 0.5000 1
Al1 0.7500 0.7500 0.7500 1
Cd1 0.2500 0.2500 0.2500 1
# D(E_F) in states/eV/f.u.: 3.484
# Formation energy in eV/atom: -0.34
# Crystal system: cubic

***

No. 4
# SmGdAlCd, optimized geometry, DFT PBE
data_SmGdAlCd
_symmetry_space_group_name_H-M 'P 1'
_symmetry_Int_Tables_number 1
_cell_length_a 5.2873
_cell_length_b 5.2873
_cell_length_c 5.2873
_cell_angle_alpha 60.00
_cell_angle_beta 60.00
_cell_angle_gamma 60.00
loop_
_symmetry_equiv_pos_as_xyz
'x,y,z'
loop_
_atom_site_label
_atom_site_fract_x
_atom_site_fract_y
_atom_site_fract_z
_atom_site_occupancy
Sm1 0.0000 0.0000 0.0000 1
Gd1 0.5000 0.5000 0.5000 1
Al1 0.2500 0.2500 0.2500 1
Cd1 0.7500 0.7500 0.7500 1
# D(E_F) in states/eV/f.u.: 3.526
# Formation energy in eV/atom: -0.35
# Crystal system: cubic